No. 1
First-principles (GGA-PBE) data for a geometry-optimized TbSiHRu structure, as listed in Alexandria.

The value obtained for the total DFT energy (no corrections) is -51.64 eV for the cell shown. The density of states at the Fermi level is 0.41 states/eV/atom. As for the symmetry: P4/nmm, No. 129.

Cell and atoms, written as CIF:
```
data_TbSiHRu
_chemical_formula_sum 'Tb2 Si2 H2 Ru2'
_space_group_name_H-M_alt 'P 1'
_space_group_IT_number 1
_space_group_name_Hall 'P 1'
_cell_length_a 4.097
_cell_length_b 4.097
_cell_length_c 7.159
_cell_angle_alpha 90.00
_cell_angle_beta 90.00
_cell_angle_gamma 90.00
loop_
_atom_site_label
_atom_site_fract_x
_atom_site_fract_y
_atom_site_fract_z
Ru1 0.500 0.500 0.000
Tb1 0.000 0.500 0.340
H1 0.000 0.000 0.500
Tb2 0.500 0.000 0.660
Ru2 0.000 0.000 0.000
H2 0.500 0.500 0.500
Si1 0.000 0.500 0.832
Si2 0.500 0.000 0.168
```

=====

No. 2
First-principles (GGA-PBE) data for a geometry-optimized ThSiHRu structure, as listed in Alexandria.

The value obtained for the total DFT energy (no corrections) is -57.35 eV for the cell shown. The density of states at the Fermi level is 0.66 states/eV/atom. As for the symmetry: P4/nmm, No. 129.

Cell and atoms, written as CIF:
```
data_ThSiHRu
_chemical_formula_sum 'Th2 Si2 H2 Ru2'
_space_group_name_H-M_alt 'P 1'
_space_group_IT_number 1
_space_group_name_Hall 'P 1'
_cell_length_a 4.197
_cell_length_b 4.197
_cell_length_c 7.245
_cell_angle_alpha 90.00
_cell_angle_beta 90.00
_cell_angle_gamma 90.00
loop_
_atom_site_label
_atom_site_fract_x
_atom_site_fract_y
_atom_site_fract_z
Ru1 0.000 0.000 0.500
H1 0.500 0.500 0.000
H2 0.000 0.000 0.000
Th1 0.000 0.500 0.824
Ru2 0.500 0.500 0.500
Si1 0.000 0.500 0.334
Th2 0.500 0.000 0.176
Si2 0.500 0.000 0.666
```

=====

No. 3
First-principles (GGA-PBE) data for a geometry-optimized TiSiHRu2 structure, as listed in Alexandria.

The value obtained for the total DFT energy (no corrections) is -37.38 eV for the cell shown. The density of states at the Fermi level is 0.43 states/eV/atom. As for the symmetry: P4/mmm, No. 123.

Cell and atoms, written as CIF:
```
data_TiSiHRu2
_chemical_formula_sum 'Ti1 Si1 H1 Ru2'
_space_group_name_H-M_alt 'P 1'
_space_group_IT_number 1
_space_group_name_Hall 'P 1'
_cell_length_a 4.005
_cell_length_b 4.005
_cell_length_c 3.599
_cell_angle_alpha 90.00
_cell_angle_beta 90.00
_cell_angle_gamma 90.00
loop_
_atom_site_label
_atom_site_fract_x
_atom_site_fract_y
_atom_site_fract_z
Si1 0.500 0.500 0.500
Ru1 0.000 0.500 0.000
H1 0.000 0.000 0.000
Ru2 0.500 0.000 0.000
Ti1 0.000 0.000 0.500
```

=====

No. 4
First-principles (GGA-PBE) data for a geometry-optimized YSiHRu2 structure, as listed in Alexandria.

The value obtained for the total DFT energy (no corrections) is -73.08 eV for the cell shown. The density of states at the Fermi level is 1.12 states/eV/atom. As for the symmetry: Cmcm, No. 63.

Cell and atoms, written as CIF:
```
data_YSiHRu2
_chemical_formula_sum 'Y2 Si2 H2 Ru4'
_space_group_name_H-M_alt 'P 1'
_space_group_IT_number 1
_space_group_name_Hall 'P 1'
_cell_length_a 3.312
_cell_length_b 5.845
_cell_length_c 7.529
_cell_angle_alpha 90.00
_cell_angle_beta 90.00
_cell_angle_gamma 106.46
loop_
_atom_site_label
_atom_site_fract_x
_atom_site_fract_y
_atom_site_fract_z
Ru1 0.154 0.307 0.952
Y1 0.541 0.082 0.250
H1 0.000 0.000 0.500
Ru2 0.154 0.307 0.548
Ru3 0.846 0.693 0.048
Si1 0.264 0.528 0.250
H2 0.000 0.000 0.000
Si2 0.736 0.472 0.750
Ru4 0.846 0.693 0.452
Y2 0.459 0.918 0.750
```

=====

No. 5
First-principles (GGA-PBE) data for a geometry-optimized SmH9Ru2 structure, as listed in Alexandria.

The value obtained for the total DFT energy (no corrections) is -105.21 eV for the cell shown. The density of states at the Fermi level is 0.15 states/eV/atom. As for the symmetry: I4_1/amd, No. 141.

Cell and atoms, written as CIF:
```
data_SmH9Ru2
_chemical_formula_sum 'Sm2 H18 Ru4'
_space_group_name_H-M_alt 'P 1'
_space_group_IT_number 1
_space_group_name_Hall 'P 1'
_cell_length_a 5.260
_cell_length_b 6.315
_cell_length_c 6.315
_cell_angle_alpha 80.01
_cell_angle_beta 65.39
_cell_angle_gamma 65.39
loop_
_atom_site_label
_atom_site_fract_x
_atom_site_fract_y
_atom_site_fract_z
Sm1 0.250 0.500 0.500
Ru1 0.875 0.250 0.250
H1 0.706 0.186 0.582
H2 0.642 0.314 0.082
H3 0.000 0.000 0.000
H4 0.276 0.082 0.686
H5 0.474 0.814 0.418
Ru2 0.375 0.750 0.750
H6 0.276 0.686 0.082
H7 0.038 0.686 0.918
Sm2 0.500 0.000 0.000
Ru3 0.875 0.750 0.250
Ru4 0.875 0.250 0.750
H8 0.474 0.418 0.814
H9 0.642 0.082 0.314
H10 0.712 0.582 0.814
H11 0.706 0.582 0.186
H12 0.044 0.314 0.918
H13 0.044 0.918 0.314
H14 0.038 0.918 0.686
H15 0.108 0.186 0.418
H16 0.750 0.500 0.500
H17 0.108 0.418 0.186
H18 0.712 0.814 0.582
```

=====

No. 6
First-principles (GGA-PBE) data for a geometry-optimized Sm2H10Ru3 structure, as listed in Alexandria.

The value obtained for the total DFT energy (no corrections) is -150.47 eV for the cell shown. The density of states at the Fermi level is 0.35 states/eV/atom. As for the symmetry: C2/m, No. 12.

Cell and atoms, written as CIF:
```
data_Sm2H10Ru3
_chemical_formula_sum 'Sm4 H20 Ru6'
_space_group_name_H-M_alt 'P 1'
_space_group_IT_number 1
_space_group_name_Hall 'P 1'
_cell_length_a 5.252
_cell_length_b 7.376
_cell_length_c 8.128
_cell_angle_alpha 110.88
_cell_angle_beta 108.85
_cell_angle_gamma 90.00
loop_
_atom_site_label
_atom_site_fract_x
_atom_site_fract_y
_atom_site_fract_z
H1 0.962 0.793 0.923
H2 0.157 0.995 0.775
H3 0.618 0.995 0.775
Sm1 0.697 0.280 0.394
H4 0.929 0.506 0.338
H5 0.867 0.263 0.735
Ru1 0.090 0.482 0.180
H6 0.843 0.005 0.225
H7 0.472 0.831 0.944
H8 0.528 0.169 0.056
Ru2 0.181 0.004 0.362
H9 0.133 0.737 0.265
H10 0.038 0.207 0.077
H11 0.071 0.494 0.662
H12 0.219 0.500 0.000
H13 0.500 0.000 0.500
H14 0.000 0.000 0.500
Ru3 0.763 0.000 0.000
H15 0.773 0.749 0.545
Sm2 0.395 0.270 0.790
Sm3 0.605 0.730 0.210
H16 0.591 0.494 0.662
Ru4 0.910 0.518 0.820
H17 0.781 0.500 0.000
Ru5 0.819 0.996 0.638
H18 0.382 0.005 0.225
H19 0.409 0.506 0.338
Ru6 0.237 0.000 0.000
H20 0.227 0.251 0.455
Sm4 0.303 0.720 0.606
```

=====

No. 7
First-principles (GGA-PBE) data for a geometry-optimized SmH3Ru structure, as listed in Alexandria.

The value obtained for the total DFT energy (no corrections) is -26.21 eV for the cell shown. The density of states at the Fermi level is 0.57 states/eV/atom. As for the symmetry: Pm-3m, No. 221.

Cell and atoms, written as CIF:
```
data_SmH3Ru
_chemical_formula_sum 'Sm1 H3 Ru1'
_space_group_name_H-M_alt 'P 1'
_space_group_IT_number 1
_space_group_name_Hall 'P 1'
_cell_length_a 3.699
_cell_length_b 3.699
_cell_length_c 3.699
_cell_angle_alpha 90.00
_cell_angle_beta 90.00
_cell_angle_gamma 90.00
loop_
_atom_site_label
_atom_site_fract_x
_atom_site_fract_y
_atom_site_fract_z
Ru1 0.000 0.000 0.000
H1 0.000 0.000 0.500
Sm1 0.500 0.500 0.500
H2 0.500 0.000 0.000
H3 0.000 0.500 0.000
```

=====

No. 8
First-principles (GGA-PBE) data for a geometry-optimized SmH3Ru structure, as listed in Alexandria.

The value obtained for the total DFT energy (no corrections) is -103.00 eV for the cell shown. The density of states at the Fermi level is 0.26 states/eV/atom. As for the symmetry: P2_1/c, No. 14.

Cell and atoms, written as CIF:
```
data_SmH3Ru
_chemical_formula_sum 'Sm4 H12 Ru4'
_space_group_name_H-M_alt 'P 1'
_space_group_IT_number 1
_space_group_name_Hall 'P 1'
_cell_length_a 4.767
_cell_length_b 7.011
_cell_length_c 7.743
_cell_angle_alpha 90.00
_cell_angle_beta 80.10
_cell_angle_gamma 90.00
loop_
_atom_site_label
_atom_site_fract_x
_atom_site_fract_y
_atom_site_fract_z
Sm1 0.496 0.090 0.764
H1 0.712 0.859 0.921
H2 0.744 0.538 0.037
Sm2 0.996 0.410 0.264
H3 0.256 0.462 0.963
Ru1 0.480 0.677 0.948
H4 0.260 0.321 0.622
H5 0.740 0.679 0.378
Sm3 0.004 0.590 0.736
Sm4 0.504 0.910 0.236
H6 0.288 0.141 0.079
H7 0.756 0.038 0.463
H8 0.760 0.179 0.122
Ru2 0.980 0.823 0.448
H9 0.240 0.821 0.878
H10 0.788 0.359 0.579
Ru3 0.020 0.177 0.552
H11 0.212 0.641 0.421
H12 0.244 0.962 0.537
Ru4 0.520 0.323 0.052
```

=====

No. 9
First-principles (GGA-PBE) data for a geometry-optimized SmHRu structure, as listed in Alexandria.

The density of states at the Fermi level is 0.65 states/eV/atom. As for the symmetry: C2/m, No. 12. The value obtained for the excess energy over the best structure of this formula in the dataset is 0.0000 eV per atom.

Cell and atoms, written as CIF:
```
data_SmHRu
_chemical_formula_sum 'Sm2 H2 Ru2'
_space_group_name_H-M_alt 'P 1'
_space_group_IT_number 1
_space_group_name_Hall 'P 1'
_cell_length_a 3.992
_cell_length_b 5.730
_cell_length_c 7.849
_cell_angle_alpha 137.72
_cell_angle_beta 90.00
_cell_angle_gamma 110.39
loop_
_atom_site_label
_atom_site_fract_x
_atom_site_fract_y
_atom_site_fract_z
Ru1 0.375 0.749 0.626
Ru2 0.625 0.251 0.374
H1 0.620 0.240 0.812
Sm1 0.000 0.000 0.500
Sm2 0.000 0.000 0.000
H2 0.380 0.760 0.188
```

=====

- Which formula does entry 8 have?
  SmH3Ru